AlTc2Ni | GGA-PBE | relaxed

Cell: 3.990 2.746 5.714 Å, 61.35 90.00 90.00°
Fractional positions:
Al: 0.500 0.250 0.250
Ni: 0.500 0.750 0.750
Tc: 0.000 0.504 0.497
Tc: 0.000 0.996 0.003

Results
The value obtained for the density of states at the Fermi level is 5.38 states/eV per cell. The value obtained for the raw total energy is -7.617 eV/atom. For the total magnetic moment, the calculation gives 0.0 Bohr magnetons per cell.


Mg3Sc | GGA-PBE | relaxed

Cell: 10.693 10.693 10.693 Å, 17.28 17.28 17.28°
Fractional positions:
Sc: 0.000 0.000 0.000
Mg: 0.500 0.500 0.500
Mg: 0.250 0.250 0.250
Mg: 0.750 0.750 0.750

Results
The value obtained for the density of states at the Fermi level is 3.53 states/eV per cell. The value obtained for the raw total energy is -2.745 eV/atom. For the total magnetic moment, the calculation gives 0.0 Bohr magnetons per cell.


SmGa5Ir2Pd | GGA-PBE | relaxed

Cell: 4.808 4.808 7.713 Å, 90.00 90.00 90.00°
Fractional positions:
Ga: 0.500 0.500 0.500
Ga: 0.000 0.500 0.818
Ga: 0.500 0.000 0.818
Ga: 0.000 0.500 0.182
Ga: 0.500 0.000 0.182
Pd: 0.000 0.000 0.000
Ir: 0.500 0.500 0.797
Ir: 0.500 0.500 0.203
Sm: 0.000 0.000 0.500

Results
The value obtained for the density of states at the Fermi level is 3.99 states/eV per cell. The value obtained for the raw total energy is -5.049 eV/atom. For the total magnetic moment, the calculation gives 0.0 Bohr magnetons per cell.


NaCu2GeO4 | GGA-PBE | relaxed

Cell: 4.994 4.994 4.994 Å, 99.75 114.54 114.54°
Each line ends with the local moment (μB).
Fractional positions:
O: 0.620 0.473 0.473  0.07
O: 0.000 0.527 0.146  0.07
O: 0.380 0.854 0.854  0.07
O: 0.000 0.146 0.527  0.07
Ge: 0.000 0.500 0.500  0.00
Cu: 0.500 0.750 0.250  0.34
Cu: 0.500 0.250 0.750  0.34
Na: 0.000 0.000 0.000  0.00

Results
The value obtained for the density of states at the Fermi level is 2.82 states/eV per cell. As for the formation energy without anion corrections: -1.16 eV per atom. For the total magnetic moment, the calculation gives 1.0 Bohr magnetons per cell.